Density functional theory data (PBE-GGA) for a geometry-optimized Sc3InO structure.

a b c (Å): 8.007 8.007 8.007
angles (deg): 41.57 41.57 41.57
Fractional positions:
Sc: 0.047 0.718 0.401
Sc: 0.282 0.599 0.953
Sc: 0.401 0.047 0.718
Sc: 0.599 0.953 0.282
Sc: 0.718 0.401 0.047
Sc: 0.953 0.282 0.599
In: 0.165 0.165 0.165
In: 0.835 0.835 0.835
O: 0.338 0.338 0.338
O: 0.662 0.662 0.662

Space group: No. 148
Uncorrected formation energy in meV/atom: -1171.0



Density functional theory data (PBE-GGA) for a geometry-optimized Rb3AgCl structure.

a b c (Å): 6.356 6.356 6.356
angles (deg): 90.00 90.00 90.00
Fractional positions:
Rb: 0.000 0.000 0.500
Rb: 0.000 0.500 0.000
Rb: 0.500 0.000 0.000
Ag: 0.500 0.500 0.500
Cl: 0.000 0.000 0.000

Space group: No. 221
Uncorrected formation energy in meV/atom: -631.7



Density functional theory data (PBE-GGA) for a geometry-optimized Li2CuPt structure.

a b c (Å): 4.235 4.235 4.223
angles (deg): 119.80 119.80 90.33
Fractional positions:
Li: 0.000 0.000 0.000
Li: 0.751 0.249 0.500
Cu: 0.250 0.750 0.500
Pt: 0.500 0.500 0.000

Space group: No. 5
E_form in meV per atom: -381



Density functional theory data (PBE-GGA) for a geometry-optimized BeTl2Sb2 structure.

a b c (Å): 6.734 6.734 6.161
angles (deg): 90.00 90.00 90.00
Fractional positions:
Be: 0.000 0.000 0.000
Be: 0.500 0.500 0.000
Tl: 0.183 0.317 0.500
Tl: 0.317 0.817 0.500
Tl: 0.683 0.183 0.500
Tl: 0.817 0.683 0.500
Sb: 0.152 0.652 0.000
Sb: 0.348 0.152 0.000
Sb: 0.652 0.848 0.000
Sb: 0.848 0.348 0.000

Space group: No. 127
Uncorrected formation energy in meV/atom: 175.7



Density functional theory data (PBE-GGA) for a geometry-optimized LaInHg2 structure.

a b c (Å): 3.456 5.010 6.343
angles (deg): 90.00 90.39 90.00
Fractional positions:
La: 0.000 0.000 0.000
In: 0.495 0.500 0.744
Hg: 0.500 0.000 0.496
Hg: 0.504 0.500 0.238

Space group: No. 6
E_form in meV per atom: -311



Density functional theory data (PBE-GGA) for a geometry-optimized Li12Zn2Cd structure.

a b c (Å): 5.752 5.752 19.206
angles (deg): 90.00 90.00 121.72
Fractional positions:
Li: 0.000 0.000 0.074
Li: 0.000 0.000 0.926
Li: 0.000 0.500 0.137
Li: 0.000 0.500 0.385
Li: 0.000 0.500 0.615
Li: 0.000 0.500 0.863
Li: 0.121 0.879 0.500
Li: 0.250 0.250 0.218
Li: 0.250 0.250 0.356
Li: 0.250 0.250 0.644
Li: 0.250 0.250 0.782
Li: 0.379 0.621 0.500
Li: 0.500 0.000 0.137
Li: 0.500 0.000 0.385
Li: 0.500 0.000 0.615
Li: 0.500 0.000 0.863
Li: 0.500 0.500 0.074
Li: 0.500 0.500 0.926
Li: 0.621 0.379 0.500
Li: 0.750 0.750 0.218
Li: 0.750 0.750 0.356
Li: 0.750 0.750 0.644
Li: 0.750 0.750 0.782
Li: 0.879 0.121 0.500
Zn: 0.250 0.750 0.265
Zn: 0.250 0.750 0.735
Zn: 0.750 0.250 0.265
Zn: 0.750 0.250 0.735
Cd: 0.250 0.750 0.000
Cd: 0.750 0.250 0.000

Space group: No. 67
E_form in meV per atom: -40



Density functional theory data (PBE-GGA) for a geometry-optimized MgCr structure.

a b c (Å): 9.418 3.052 9.080
angles (deg): 90.00 90.00 90.00
Fractional positions:
Mg: 0.118 0.250 0.250
Mg: 0.142 0.750 0.538
Mg: 0.358 0.250 0.038
Mg: 0.382 0.750 0.750
Mg: 0.618 0.250 0.250
Mg: 0.642 0.750 0.962
Mg: 0.858 0.250 0.462
Mg: 0.882 0.750 0.750
Cr: 0.105 0.750 0.984
Cr: 0.129 0.250 0.808
Cr: 0.371 0.750 0.308
Cr: 0.395 0.250 0.484
Cr: 0.605 0.750 0.516
Cr: 0.629 0.250 0.692
Cr: 0.871 0.750 0.192
Cr: 0.895 0.250 0.016

Space group: No. 62
E_form in meV per atom: 313



Density functional theory data (PBE-GGA) for a geometry-optimized KSr2Rh structure.

a b c (Å): 11.277 11.277 11.277
angles (deg): 159.69 159.22 29.21
Fractional positions:
K: 0.000 0.000 0.000
Sr: 0.331 0.331 0.000
Sr: 0.681 0.181 0.500
Rh: 0.235 0.735 0.500

Space group: No. 44
E_form in meV per atom: 30